Entry 1:
Below is a geometry-optimized CsK3Cu structure, with properties calculated at the GGA-PBE level.

The value obtained for the excess energy over the best structure of this formula in the dataset is 0.0 meV per atom. Its energy of formation from the pure elements is 0.21 eV/atom. Its density of states at the Fermi level is 4.054 states/eV/f.u.

POSCAR file:
```
CsK3Cu
1.0
-3.453 2.220 -5.422
-4.152 -5.368 0.446
-4.134 3.537 4.081
Cs Cu K
1 1 3
Direct
0.500 0.500 0.500
0.000 0.000 0.000
0.000 0.000 0.500
0.000 0.500 0.000
0.500 0.000 0.000
```



Entry 2:
Below is a geometry-optimized Pu2MgSi2Ru5 structure, with properties calculated at the GGA-PBE level.

The calculation puts the formation energy (no corrections) at -0.369 eV/atom. Its density of states at the Fermi level is 21.842 states/eV/f.u.

POSCAR file:
```
Pu2MgSi2Ru5
1.0
-2.112 2.548 -0.186
-1.301 -0.356 9.878
7.572 6.368 1.227
Si Pu Ru Mg
4 4 10 2
Direct
0.000 0.626 0.874
0.000 0.874 0.374
0.000 0.126 0.626
0.000 0.374 0.126
0.000 0.173 0.327
0.000 0.827 0.673
0.000 0.673 0.173
0.000 0.327 0.827
0.500 0.000 0.500
0.500 0.069 0.788
0.500 0.931 0.212
0.500 0.712 0.431
0.500 0.431 0.288
0.500 0.569 0.712
0.500 0.288 0.569
0.500 0.500 0.000
0.500 0.788 0.931
0.500 0.212 0.069
0.000 0.000 0.000
0.000 0.500 0.500
```



Entry 3:
Below is a geometry-optimized InOs2Se structure, with properties calculated at the GGA-PBE level.

The value obtained for the excess energy over the best structure of this formula in the dataset is 390.7 meV per atom. The calculation puts the formation energy (no corrections) at 0.712 eV/atom. Its density of states at the Fermi level is 4.778 states/eV/f.u.

POSCAR file:
```
InOs2Se
1.0
-0.724 1.774 2.140
2.034 -1.989 0.396
7.235 6.768 -3.163
Se In Os
1 1 2
Direct
0.000 0.000 0.447
0.500 0.500 0.783
0.500 0.500 0.240
0.000 0.000 0.030
```



Entry 4:
Below is a geometry-optimized Sr3AgPt structure, with properties calculated at the GGA-PBE level.

The value obtained for the excess energy over the best structure of this formula in the dataset is 0.0 meV per atom. Its energy of formation from the pure elements is -0.51 eV/atom. Its density of states at the Fermi level is 2.687 states/eV/f.u.

POSCAR file:
```
Sr3AgPt
1.0
-1.256 4.012 -6.742
8.093 -2.798 -3.173
-6.599 -6.692 -2.753
Pt Sr Ag
4 12 4
Direct
0.673 0.021 0.558
0.327 0.979 0.442
0.173 0.479 0.442
0.827 0.521 0.558
0.992 0.214 0.542
0.508 0.714 0.542
0.682 0.501 0.843
0.492 0.286 0.458
0.318 0.499 0.157
0.349 0.107 0.771
0.849 0.393 0.229
0.818 0.001 0.843
0.151 0.607 0.771
0.651 0.893 0.229
0.008 0.786 0.458
0.182 0.999 0.157
0.534 0.164 0.085
0.466 0.836 0.915
0.034 0.336 0.915
0.966 0.664 0.085
```



Entry 5:
Below is a geometry-optimized AlRe3 structure, with properties calculated at the GGA-PBE level.

Its energy of formation from the pure elements is 0.09 eV/atom. Its density of states at the Fermi level is 2.296 states/eV/f.u.

POSCAR file:
```
AlRe3
1.0
-0.524 -4.712 0.739
4.471 1.587 0.718
-0.612 0.494 2.719
Re Al
3 1
Direct
0.000 0.500 0.500
0.500 0.500 0.000
0.500 0.000 0.500
0.000 0.000 0.000
```



Entry 6:
Below is a geometry-optimized CrCdAs2 structure, with properties calculated at the GGA-PBE level.

Its energy of formation from the pure elements is 0.25 eV/atom. Its density of states at the Fermi level is 2.280 states/eV/f.u.

POSCAR file:
```
CrCdAs2
1.0
2.931 -0.004 0.000
0.006 2.931 0.000
0.000 0.000 9.137
Cd As Cr
1 2 1
Direct
0.000 0.000 0.526
0.000 0.000 0.936
0.500 0.500 0.275
0.500 0.500 0.763
```



Entry 7:
Below is a geometry-optimized Pu2InPd5 structure, with properties calculated at the GGA-PBE level.

Its energy of formation from the pure elements is -0.46 eV/atom. Its density of states at the Fermi level is 28.308 states/eV/f.u.

POSCAR file:
```
Pu2InPd5
1.0
6.511 0.000 0.000
0.000 6.511 0.000
-3.256 -3.256 3.627
Pu In Pd
2 1 5
Direct
0.735 0.235 0.469
0.235 0.735 0.469
0.144 0.144 0.287
0.259 0.693 0.951
0.762 0.762 0.524
0.693 0.693 0.951
0.693 0.259 0.951
0.259 0.259 0.951
```



Entry 8:
Below is a geometry-optimized KBe2Cr structure, with properties calculated at the GGA-PBE level.

The value obtained for the excess energy over the best structure of this formula in the dataset is 602.9 meV per atom. Its energy of formation from the pure elements is 1.20 eV/atom. Its density of states at the Fermi level is 1.714 states/eV/f.u.

POSCAR file:
```
KBe2Cr
1.0
-2.983 -2.202 6.238
0.020 -1.961 -4.409
1.232 -1.974 0.881
Be K Cr
2 1 1
Direct
0.000 0.000 0.000
0.500 0.000 0.500
0.500 0.500 0.000
0.000 0.500 0.500
```



Entry 9:
Below is a geometry-optimized KAgTeI6 structure, with properties calculated at the GGA-PBE level.

The calculation puts the formation energy (no corrections) at -0.412 eV/atom.

POSCAR file:
```
KAgTeI6
1.0
-4.689 -6.270 -0.077
2.479 -6.791 3.007
-2.856 2.042 6.951
I Te K Ag
6 1 1 1
Direct
0.628 0.007 0.278
0.365 0.628 0.279
0.007 0.365 0.279
0.365 0.007 0.721
0.628 0.365 0.721
0.007 0.628 0.722
0.333 0.333 0.500
0.000 0.000 0.000
0.667 0.667 0.500
```



Entry 10:
Below is a geometry-optimized TiCrSb2 structure, with properties calculated at the GGA-PBE level.

The value obtained for the excess energy over the best structure of this formula in the dataset is 144.2 meV per atom. The calculation puts the formation energy (no corrections) at 0.147 eV/atom. Its density of states at the Fermi level is 5.847 states/eV/f.u.

POSCAR file:
```
TiCrSb2
1.0
0.000 3.316 3.316
3.316 0.000 3.316
3.316 3.316 0.000
Cr Sb Ti
1 2 1
Direct
0.500 0.500 0.500
0.750 0.750 0.750
0.250 0.250 0.250
0.000 0.000 0.000
```



Entry 11:
Below is a geometry-optimized Sn2OsPt structure, with properties calculated at the GGA-PBE level.

The value obtained for the excess energy over the best structure of this formula in the dataset is 341.0 meV per atom. Its energy of formation from the pure elements is 0.59 eV/atom. Its density of states at the Fermi level is 2.906 states/eV/f.u.

POSCAR file:
```
Sn2OsPt
1.0
6.031 0.000 0.000
0.000 6.031 0.000
3.016 3.016 5.960
Pt Sn Os
2 4 2
Direct
0.000 0.000 0.000
0.750 0.250 0.500
0.617 0.125 0.250
0.133 0.625 0.250
0.375 0.383 0.750
0.875 0.867 0.750
0.500 0.500 0.000
0.250 0.750 0.500
```



Entry 12:
Below is a geometry-optimized PtW2 structure, with properties calculated at the GGA-PBE level.

The value obtained for the excess energy over the best structure of this formula in the dataset is 5.7 meV per atom. Its energy of formation from the pure elements is -0.07 eV/atom. Its density of states at the Fermi level is 2.467 states/eV/f.u.

POSCAR file:
```
PtW2
1.0
-0.837 2.501 -2.996
0.185 -3.035 -2.586
-11.287 -1.763 4.341
Pt W
4 8
Direct
0.916 0.916 0.831
0.166 0.666 0.331
0.084 0.084 0.169
0.334 0.834 0.669
0.582 0.582 0.165
0.832 0.332 0.665
0.999 0.499 0.999
0.251 0.251 0.501
0.749 0.749 0.499
0.418 0.418 0.835
0.668 0.168 0.335
0.501 0.001 0.001
```



Entry 13:
Below is a geometry-optimized CeOsAu structure, with properties calculated at the GGA-PBE level.

Its energy of formation from the pure elements is -0.01 eV/atom. Its density of states at the Fermi level is 5.120 states/eV/f.u.

POSCAR file:
```
CeOsAu
1.0
3.654 0.000 0.000
0.000 3.654 0.000
-1.827 -1.827 10.559
Au Ce Os
2 2 2
Direct
0.564 0.564 0.128
0.436 0.436 0.872
0.857 0.857 0.713
0.143 0.143 0.287
0.266 0.266 0.532
0.734 0.734 0.468
```



Entry 14:
Below is a geometry-optimized Cd2CoRe structure, with properties calculated at the GGA-PBE level.

The value obtained for the excess energy over the best structure of this formula in the dataset is 76.7 meV per atom. Its energy of formation from the pure elements is 0.30 eV/atom. Its density of states at the Fermi level is 2.862 states/eV/f.u.

POSCAR file:
```
Cd2CoRe
1.0
9.815 0.011 0.007
9.404 2.812 0.007
9.404 1.382 2.449
Co Cd Re
1 2 1
Direct
0.493 0.493 0.493
0.007 0.007 0.007
0.239 0.239 0.239
0.762 0.762 0.762
```



Entry 15:
Below is a geometry-optimized PmMgAl structure, with properties calculated at the GGA-PBE level.

The value obtained for the excess energy over the best structure of this formula in the dataset is 192.5 meV per atom. Its energy of formation from the pure elements is -0.13 eV/atom. Its density of states at the Fermi level is 0.718 states/eV/f.u.

POSCAR file:
```
PmMgAl
1.0
-2.793 1.601 3.714
1.450 -0.698 4.644
1.476 3.822 2.714
Al Pm Mg
1 1 1
Direct
0.250 0.250 0.250
0.000 0.000 0.000
0.500 0.500 0.500
```



Entry 16:
Below is a geometry-optimized Ho2Si7Pt12 structure, with properties calculated at the GGA-PBE level.

The calculation puts the formation energy (no corrections) at -0.910 eV/atom. Its density of states at the Fermi level is 6.503 states/eV/f.u.

POSCAR file:
```
Ho2Si7Pt12
1.0
-3.809 0.540 0.848
-2.191 -8.696 -4.302
2.206 0.337 9.693
Pt Si Ho
12 7 2
Direct
0.758 0.261 0.148
0.749 0.545 0.620
0.242 0.113 0.261
0.242 0.739 0.852
0.251 0.620 0.075
0.749 0.380 0.925
0.758 0.887 0.739
0.758 0.852 0.113
0.242 0.148 0.887
0.251 0.455 0.380
0.251 0.925 0.545
0.749 0.075 0.455
0.747 0.117 0.712
0.500 0.000 0.000
0.253 0.712 0.595
0.253 0.883 0.288
0.253 0.405 0.117
0.747 0.595 0.883
0.747 0.288 0.405
0.754 0.667 0.333
0.246 0.333 0.667
```



Entry 17:
Below is a geometry-optimized Ce3GeCl2 structure, with properties calculated at the GGA-PBE level.

The value obtained for the excess energy over the best structure of this formula in the dataset is 163.2 meV per atom. The calculation puts the formation energy (no corrections) at -1.099 eV/atom. Its density of states at the Fermi level is 17.661 states/eV/f.u.

POSCAR file:
```
Ce3GeCl2
1.0
-1.604 -0.104 7.548
2.399 -6.444 0.421
4.083 5.263 0.941
Ge Cl Ce
2 4 6
Direct
0.750 0.830 0.000
0.250 0.170 0.000
0.250 0.514 0.677
0.750 0.163 0.677
0.750 0.486 0.323
0.250 0.837 0.323
0.500 0.831 0.662
0.000 0.831 0.662
0.000 0.169 0.338
0.500 0.500 0.000
0.500 0.169 0.338
0.000 0.500 0.000
```



no.,DFT total energy (eV per atom)
1,-1.44
2,-9.12
3,-6.46
4,-3.29
5,-10.18
6,-4.71
7,-7.63
8,-3.34
9,-2.23
10,-6.29
11,-5.73
12,-10.72
13,-6.83
14,-5.04
15,-3.49
16,-6.61
17,-5.45